Entry 1:
Here is a geometry-optimized Ac2Zn4PbAu3 structure from the Alexandria database. Energies are from PBE-GGA.

abc: 4.575 4.575 11.033
angles: 90.00 90.00 90.00
Sites, in units of the cell vectors:
Ac 0.000 0.500 0.239
Ac 0.500 0.000 0.761
Zn 0.000 0.000 0.000
Zn 0.000 0.500 0.643
Zn 0.500 0.000 0.357
Zn 0.500 0.500 0.000
Pb 0.000 0.000 0.500
Au 0.000 0.500 0.876
Au 0.500 0.000 0.124
Au 0.500 0.500 0.500

Output
The theoretical density is 10.883 g cm⁻³. As for the symmetry: P-4m2, No. 115. The value obtained for the size of the total moment is 0.0 Bohr magnetons per cell. The density of states at the Fermi level is 7.37 states/eV per cell. For the calculated total energy, the calculation gives -3.1669 eV per atom. For the volume, the calculation gives 231.0 Å³/cell. Its formation energy is -465 kJ/mol of formula units.

---

Entry 2:
Here is a geometry-optimized AcZnPbAu structure from the Alexandria database. Energies are from PBE-GGA.

abc: 5.289 5.289 5.289
angles: 60.00 60.00 60.00
Sites, in units of the cell vectors:
Ac 0.000 0.000 0.000
Zn 0.750 0.750 0.750
Pb 0.500 0.500 0.500
Au 0.250 0.250 0.250

Output
The theoretical density is 11.055 g cm⁻³. As for the symmetry: F-43m, No. 216. The value obtained for the size of the total moment is 0.0 Bohr magnetons per cell. The density of states at the Fermi level is 1.10 states/eV per cell. For the calculated total energy, the calculation gives -3.5330 eV per atom. For the volume, the calculation gives 104.6 Å³/cell. Its formation energy is -170 kJ/mol of formula units.

---

Entry 3:
Here is a geometry-optimized AcPd2Au6 structure from the Alexandria database. Energies are from PBE-GGA.

abc: 8.583 8.583 8.583
angles: 60.00 60.00 60.00
Sites, in units of the cell vectors:
Ac 0.125 0.125 0.125
Ac 0.875 0.875 0.875
Pd 0.000 0.500 0.500
Pd 0.500 0.000 0.500
Pd 0.500 0.500 0.000
Pd 0.500 0.500 0.500
Au 0.124 0.124 0.626
Au 0.124 0.626 0.124
Au 0.124 0.626 0.626
Au 0.374 0.374 0.876
Au 0.374 0.876 0.374
Au 0.374 0.876 0.876
Au 0.626 0.124 0.124
Au 0.626 0.124 0.626
Au 0.626 0.626 0.124
Au 0.876 0.374 0.374
Au 0.876 0.374 0.876
Au 0.876 0.876 0.374

Output
The theoretical density is 12.046 g cm⁻³. As for the symmetry: Fd-3m, No. 227. The value obtained for the size of the total moment is 0.0 Bohr magnetons per cell. The density of states at the Fermi level is 6.78 states/eV per cell. For the calculated total energy, the calculation gives -3.7993 eV per atom. For the volume, the calculation gives 447.1 Å³/cell. Its formation energy is -3 kJ/mol of formula units.

---

Entry 4:
Here is a geometry-optimized Ac2Pd3Au2 structure from the Alexandria database. Energies are from PBE-GGA.

abc: 10.212 10.212 7.778
angles: 90.00 90.00 155.59
Sites, in units of the cell vectors:
Ac 0.065 0.935 0.750
Ac 0.158 0.842 0.250
Ac 0.842 0.158 0.750
Ac 0.935 0.065 0.250
Pd 0.231 0.769 0.750
Pd 0.442 0.558 0.576
Pd 0.442 0.558 0.924
Pd 0.558 0.442 0.076
Pd 0.558 0.442 0.424
Pd 0.769 0.231 0.250
Au 0.314 0.686 0.058
Au 0.314 0.686 0.442
Au 0.686 0.314 0.558
Au 0.686 0.314 0.942

Output
The theoretical density is 11.562 g cm⁻³. As for the symmetry: Cmcm, No. 63. The value obtained for the size of the total moment is 0.0 Bohr magnetons per cell. The density of states at the Fermi level is 5.41 states/eV per cell. For the calculated total energy, the calculation gives -5.0697 eV per atom. For the volume, the calculation gives 335.3 Å³/cell. Its formation energy is -496 kJ/mol of formula units.